This record from Alexandria via LeMat-Bulk describes a geometry-optimized Dy3Er2In6 structure. The functional is PBE-GGA.

Summary:
The calculation puts the total energy at -76.59 eV for the cell shown. The density of states at the Fermi level comes out at 1.262 states/eV/atom. The calculation puts the volume at 33.6 Å³/atom.

Cell and atoms, written as CIF:
```
data_Dy3Er2In6
_cell_length_a 5.7638
_cell_length_b 5.7638
_cell_length_c 22.2289
_cell_angle_alpha 90.00
_cell_angle_beta 90.00
_cell_angle_gamma 90.00
_space_group_name_H-M_alt 'I 4/m m m'
_space_group_IT_number 139
_space_group_name_Hall '-I 4 2'
loop_
_atom_site_label
_atom_site_fract_x
_atom_site_fract_y
_atom_site_fract_z
Dy1 0.0000 0.0000 0.0000
Dy2 0.0000 0.0000 0.1470
Er1 0.0000 0.0000 0.4241
In1 0.0000 0.0000 0.2863
In2 0.0000 0.5000 0.0713
```